VASP calculation (GGA-PBE) on a relaxed BeAlSe2N crystal.

Calculated values
- final energy (eV/f.u.) = -21.061
- symmetry = P4/mmm (123)
- offset from the most stable computed form (eV per formula unit) = 0.00

Structure (POSCAR):
```
BeAlSe2N
1.0
4.9870 0.0000 0.0000
0.0000 4.9870 0.0000
0.0000 0.0000 3.1221
Be Al Se N
1 1 2 1
Direct
0.0000 0.0000 0.0000 Be
0.5000 0.5000 0.5000 Al
0.0000 0.5000 0.0000 Se
0.5000 0.0000 0.0000 Se
0.0000 0.0000 0.5000 N
```



VASP calculation (GGA-PBE) on a relaxed BeAlSe2N crystal.

Calculated values
- final energy (eV/f.u.) = -19.704
- symmetry = P4/mmm (123)
- offset from the most stable computed form (eV per formula unit) = 1.36

Structure (POSCAR):
```
BeAlSe2N
1.0
5.1039 0.0000 0.0000
0.0000 5.1039 0.0000
0.0000 0.0000 3.4608
Be Al Se N
1 1 2 1
Direct
0.0000 0.0000 0.0000 Be
0.5000 0.5000 0.5000 Al
0.0000 0.5000 0.5000 Se
0.5000 0.0000 0.5000 Se
0.5000 0.5000 0.0000 N
```



VASP calculation (GGA-PBE) on a relaxed BeAl2SiN4 crystal.

Calculated values
- final energy (eV/f.u.) = -60.123
- symmetry = I-42m (121)

Structure (POSCAR):
```
BeAl2SiN4
1.0
-2.1225 2.1225 4.2515
2.1225 -2.1225 4.2515
2.1225 2.1225 -4.2515
Be Al Si N
1 2 1 4
Direct
0.0000 0.0000 0.0000 Be
0.2500 0.7500 0.5000 Al
0.7500 0.2500 0.5000 Al
0.5000 0.5000 0.0000 Si
0.1391 0.1391 0.5115 N
0.3724 0.8609 0.0000 N
0.6276 0.6276 0.4885 N
0.8609 0.3724 0.0000 N
```



VASP calculation (GGA-PBE) on a relaxed BeAlTeN2 crystal.

Calculated values
- final energy (eV/f.u.) = -21.440
- symmetry = P4/mmm (123)
- offset from the most stable computed form (eV per formula unit) = 1.60

Structure (POSCAR):
```
BeAlTeN2
1.0
3.6551 0.0000 0.0000
0.0000 3.6551 0.0000
0.0000 0.0000 5.5531
Be Al Te N
1 1 1 2
Direct
0.0000 0.0000 0.0000 Be
0.5000 0.5000 0.5000 Al
0.0000 0.0000 0.5000 Te
0.0000 0.5000 0.0000 N
0.5000 0.0000 0.0000 N
```



VASP calculation (GGA-PBE) on a relaxed BeAlTeN2 crystal.

Calculated values
- final energy (eV/f.u.) = -23.040
- symmetry = P4/mmm (123)
- offset from the most stable computed form (eV per formula unit) = 0.00

Structure (POSCAR):
```
BeAlTeN2
1.0
3.6349 0.0000 0.0000
0.0000 3.6349 0.0000
0.0000 0.0000 6.5537
Be Al Te N
1 1 1 2
Direct
0.0000 0.0000 0.0000 Be
0.5000 0.5000 0.5000 Al
0.5000 0.5000 0.0000 Te
0.0000 0.5000 0.5000 N
0.5000 0.0000 0.5000 N
```



VASP calculation (GGA-PBE) on a relaxed Be2AlWN crystal.

Calculated values
- final energy (eV/f.u.) = -20.979
- symmetry = P4/mmm (123)

Structure (POSCAR):
```
Be2AlWN
1.0
3.9664 0.0000 0.0000
0.0000 3.9664 0.0000
0.0000 0.0000 4.7800
Be Al W N
2 1 1 1
Direct
0.0000 0.5000 0.0000 Be
0.5000 0.0000 0.0000 Be
0.0000 0.0000 0.0000 Al
0.0000 0.0000 0.5000 W
0.5000 0.5000 0.5000 N
```



VASP calculation (GGA-PBE) on a relaxed Na2BeAl2 crystal.

Calculated values
- final energy (eV/f.u.) = -9.826
- symmetry = P4/mbm (127)
- formation enthalpy at 0 K (eV/atom) = 0.805
- offset from the most stable computed form (eV per formula unit) = 2.48

Structure (POSCAR):
```
Na2BeAl2
1.0
6.7866 0.0000 0.0000
0.0000 6.7866 0.0000
0.0000 0.0000 4.6392
Na Be Al
4 2 4
Direct
0.1370 0.3630 0.0000 Na
0.3630 0.8630 0.0000 Na
0.6370 0.1370 0.0000 Na
0.8630 0.6370 0.0000 Na
0.0000 0.0000 0.0000 Be
0.5000 0.5000 0.0000 Be
0.1751 0.6751 0.5000 Al
0.3249 0.1751 0.5000 Al
0.6751 0.8249 0.5000 Al
0.8249 0.3249 0.5000 Al
```



VASP calculation (GGA-PBE) on a relaxed Na2BeAl2 crystal.

Calculated values
- final energy (eV/f.u.) = -10.731
- symmetry = I4/mmm (139)
- formation enthalpy at 0 K (eV/atom) = 0.624
- offset from the most stable computed form (eV per formula unit) = 1.57

Structure (POSCAR):
```
Na2BeAl2
1.0
-1.8640 1.8640 8.8343
1.8640 -1.8640 8.8343
1.8640 1.8640 -8.8343
Na Be Al
2 1 2
Direct
0.0935 0.0935 0.0000 Na
0.9065 0.9065 0.0000 Na
0.5000 0.5000 0.0000 Be
0.2500 0.7500 0.5000 Al
0.7500 0.2500 0.5000 Al
```



VASP calculation (GGA-PBE) on a relaxed NaBe2Al crystal.

Calculated values
- final energy (eV/f.u.) = -10.212
- symmetry = I4_1/amd (141)
- formation enthalpy at 0 K (eV/atom) = 0.575

Structure (POSCAR):
```
NaBe2Al
1.0
-2.1474 2.1474 8.2395
2.1474 -2.1474 8.2395
2.1474 2.1474 -8.2395
Na Be Al
2 4 2
Direct
0.3750 0.6250 0.7500 Na
0.6250 0.3750 0.2500 Na
0.0000 0.0000 0.0000 Be
0.0000 0.0000 0.5000 Be
0.0000 0.5000 0.0000 Be
0.5000 0.0000 0.5000 Be
0.1250 0.8750 0.2500 Al
0.8750 0.1250 0.7500 Al
```



VASP calculation (GGA-PBE) on a relaxed Na2BeAl crystal.

Calculated values
- final energy (eV/f.u.) = -8.158
- symmetry = I-42d (122)
- formation enthalpy at 0 K (eV/atom) = 0.487
- offset from the most stable computed form (eV per formula unit) = 0.00

Structure (POSCAR):
```
Na2BeAl
1.0
-5.2579 5.2579 2.2203
5.2579 -5.2579 2.2203
5.2579 5.2579 -2.2203
Na Be Al
4 2 2
Direct
0.3750 0.2109 0.3359 Na
0.7891 0.1250 0.1641 Na
0.8750 0.0391 0.6641 Na
0.9609 0.6250 0.8359 Na
0.0000 0.0000 0.0000 Be
0.7500 0.2500 0.5000 Be
0.2500 0.7500 0.5000 Al
0.5000 0.5000 0.0000 Al
```



VASP calculation (GGA-PBE) on a relaxed NaBe3Al crystal.

Calculated values
- final energy (eV/f.u.) = -11.750
- symmetry = Pm-3m (221)
- formation enthalpy at 0 K (eV/atom) = 0.898
- offset from the most stable computed form (eV per formula unit) = 0.00

Structure (POSCAR):
```
NaBe3Al
1.0
4.4347 0.0000 0.0000
0.0000 4.4347 0.0000
0.0000 0.0000 4.4347
Na Be Al
1 3 1
Direct
0.0000 0.0000 0.0000 Na
0.0000 0.5000 0.5000 Be
0.5000 0.0000 0.5000 Be
0.5000 0.5000 0.0000 Be
0.5000 0.5000 0.5000 Al
```



VASP calculation (GGA-PBE) on a relaxed Na2BeAl crystal.

Calculated values
- final energy (eV/f.u.) = -7.456
- symmetry = Fm-3m (225)
- formation enthalpy at 0 K (eV/atom) = 0.663
- offset from the most stable computed form (eV per formula unit) = 0.70

Structure (POSCAR):
```
Na2BeAl
1.0
0.0000 3.5037 3.5037
3.5037 0.0000 3.5037
3.5037 3.5037 0.0000
Na Be Al
2 1 1
Direct
0.2500 0.2500 0.2500 Na
0.7500 0.7500 0.7500 Na
0.0000 0.0000 0.0000 Be
0.5000 0.5000 0.5000 Al
```



VASP calculation (GGA-PBE) on a relaxed NaBe3Al crystal.

Calculated values
- final energy (eV/f.u.) = -7.543
- symmetry = Pm-3m (221)
- formation enthalpy at 0 K (eV/atom) = 1.739
- offset from the most stable computed form (eV per formula unit) = 4.21

Structure (POSCAR):
```
NaBe3Al
1.0
4.3426 0.0000 0.0000
0.0000 4.3426 0.0000
0.0000 0.0000 4.3426
Na Be Al
1 3 1
Direct
0.0000 0.0000 0.0000 Na
0.0000 0.0000 0.5000 Be
0.0000 0.5000 0.0000 Be
0.5000 0.0000 0.0000 Be
0.5000 0.5000 0.5000 Al
```



VASP calculation (GGA-PBE) on a relaxed Na2BeAl2 crystal.

Calculated values
- final energy (eV/f.u.) = -12.305
- symmetry = P4/mbm (127)
- formation enthalpy at 0 K (eV/atom) = 0.309
- offset from the most stable computed form (eV per formula unit) = 0.00

Structure (POSCAR):
```
Na2BeAl2
1.0
6.3553 0.0000 0.0000
0.0000 6.3553 0.0000
0.0000 0.0000 5.2100
Na Be Al
4 2 4
Direct
0.1740 0.3260 0.0000 Na
0.3260 0.8260 0.0000 Na
0.6740 0.1740 0.0000 Na
0.8260 0.6740 0.0000 Na
0.0000 0.0000 0.5000 Be
0.5000 0.5000 0.5000 Be
0.1519 0.6519 0.5000 Al
0.3481 0.1519 0.5000 Al
0.6519 0.8481 0.5000 Al
0.8481 0.3481 0.5000 Al
```



VASP calculation (GGA-PBE) on a relaxed Na2BeAlO4 crystal.

Calculated values
- final energy (eV/f.u.) = -44.920
- symmetry = Fddd (70)

Structure (POSCAR):
```
Na2BeAlO4
1.0
0.0000 5.2724 9.1518
2.2343 0.0000 9.1518
2.2343 5.2724 0.0000
Na Be Al O
4 2 2 8
Direct
0.0547 0.0547 0.6953 Na
0.3047 0.3047 0.9453 Na
0.6953 0.6953 0.0547 Na
0.9453 0.9453 0.3047 Na
0.3750 0.3750 0.3750 Be
0.6250 0.6250 0.6250 Be
0.1250 0.1250 0.1250 Al
0.8750 0.8750 0.8750 Al
0.0025 0.6533 0.5650 O
0.2791 0.5650 0.6533 O
0.3467 0.9975 0.7209 O
0.4350 0.7209 0.9975 O
0.5650 0.2791 0.0025 O
0.6533 0.0025 0.2791 O
0.7209 0.4350 0.3467 O
0.9975 0.3467 0.4350 O
```



VASP calculation (GGA-PBE) on a relaxed NaBeAl2O4 crystal.

Calculated values
- final energy (eV/f.u.) = -50.343
- symmetry = Fmm2 (42)

Structure (POSCAR):
```
NaBeAl2O4
1.0
0.0000 3.2957 3.9132
3.2889 0.0000 3.9132
3.2889 3.2957 0.0000
Na Be Al O
1 1 2 4
Direct
0.0000 0.0000 0.0000 Na
0.4994 0.4994 0.5006 Be
0.2498 0.2498 0.2502 Al
0.7498 0.7498 0.7502 Al
0.1599 0.5579 0.8401 O
0.4410 0.8386 0.1614 O
0.5579 0.1599 0.4421 O
0.8386 0.4410 0.5590 O
```



VASP calculation (GGA-PBE) on a relaxed NaBe3Al2Si6O19 crystal.

Calculated values
- final energy (eV/f.u.) = -229.151
- symmetry = P6/mcc (192)

Structure (POSCAR):
```
NaBe3Al2Si6O19
1.0
9.3167 0.0000 0.0000
-4.6583 8.0685 0.0000
0.0000 0.0000 9.2566
Na Be Al Si O
2 6 4 12 38
Direct
0.0000 0.0000 0.0000 Na
0.0000 0.0000 0.5000 Na
0.0000 0.5000 0.2500 Be
0.0000 0.5000 0.7500 Be
0.5000 0.0000 0.2500 Be
0.5000 0.0000 0.7500 Be
0.5000 0.5000 0.2500 Be
0.5000 0.5000 0.7500 Be
0.3333 0.6667 0.2500 Al
0.3333 0.6667 0.7500 Al
0.6667 0.3333 0.2500 Al
0.6667 0.3333 0.7500 Al
0.1154 0.3879 0.0000 Si
0.1154 0.7276 0.5000 Si
0.2724 0.3879 0.5000 Si
0.2724 0.8846 0.0000 Si
0.3879 0.1154 0.5000 Si
0.3879 0.2724 0.0000 Si
0.6121 0.7276 0.0000 Si
0.6121 0.8846 0.5000 Si
0.7276 0.1154 0.0000 Si
0.7276 0.6121 0.5000 Si
0.8846 0.2724 0.5000 Si
0.8846 0.6121 0.0000 Si
0.0000 0.0000 0.2500 O
0.0000 0.0000 0.7500 O
0.0735 0.3083 0.5000 O
0.0735 0.7652 0.0000 O
0.1449 0.4992 0.1455 O
0.1449 0.4992 0.8545 O
0.1449 0.6457 0.3545 O
0.1449 0.6457 0.6455 O
0.2348 0.3083 0.0000 O
0.2348 0.9265 0.5000 O
0.3083 0.0735 0.0000 O
0.3083 0.2348 0.5000 O
0.3543 0.4992 0.3545 O
0.3543 0.4992 0.6455 O
0.3543 0.8551 0.1455 O
0.3543 0.8551 0.8545 O
0.4992 0.1449 0.3545 O
0.4992 0.1449 0.6455 O
0.4992 0.3543 0.1455 O
0.4992 0.3543 0.8545 O
0.5008 0.6457 0.1455 O
0.5008 0.6457 0.8545 O
0.5008 0.8551 0.3545 O
0.5008 0.8551 0.6455 O
0.6457 0.1449 0.1455 O
0.6457 0.1449 0.8545 O
0.6457 0.5008 0.3545 O
0.6457 0.5008 0.6455 O
0.6917 0.7652 0.5000 O
0.6917 0.9265 0.0000 O
0.7652 0.0735 0.5000 O
0.7652 0.6917 0.0000 O
0.8551 0.3543 0.3545 O
0.8551 0.3543 0.6455 O
0.8551 0.5008 0.1455 O
0.8551 0.5008 0.8545 O
0.9265 0.2348 0.0000 O
0.9265 0.6917 0.5000 O
```



VASP calculation (GGA-PBE) on a relaxed NaBe2AlP crystal.

Calculated values
- final energy (eV/f.u.) = -8.987
- symmetry = P4/mmm (123)
- formation enthalpy at 0 K (eV/atom) = 1.787

Structure (POSCAR):
```
NaBe2AlP
1.0
4.4391 0.0000 0.0000
0.0000 4.4391 0.0000
0.0000 0.0000 5.0624
Na Be Al P
1 2 1 1
Direct
0.0000 0.0000 0.0000 Na
0.0000 0.5000 0.0000 Be
0.5000 0.0000 0.0000 Be
0.0000 0.0000 0.5000 Al
0.5000 0.5000 0.5000 P
```



VASP calculation (GGA-PBE) on a relaxed NaSrBeAl2 crystal.

Calculated values
- final energy (eV/f.u.) = -6.031
- symmetry = P4/mmm (123)
- formation enthalpy at 0 K (eV/atom) = 1.636

Structure (POSCAR):
```
NaSrBeAl2
1.0
5.9696 0.0000 0.0000
0.0000 5.9696 0.0000
0.0000 0.0000 6.2423
Na Sr Be Al
1 1 1 2
Direct
0.0000 0.0000 0.0000 Na
0.0000 0.0000 0.5000 Sr
0.5000 0.5000 0.0000 Be
0.0000 0.5000 0.5000 Al
0.5000 0.0000 0.5000 Al
```



VASP calculation (GGA-PBE) on a relaxed Na2TiBeAl crystal.

Calculated values
- final energy (eV/f.u.) = -13.559
- symmetry = P4/mmm (123)
- formation enthalpy at 0 K (eV/atom) = 0.888

Structure (POSCAR):
```
Na2TiBeAl
1.0
4.8662 0.0000 0.0000
0.0000 4.8662 0.0000
0.0000 0.0000 4.7548
Na Ti Be Al
2 1 1 1
Direct
0.0000 0.5000 0.0000 Na
0.5000 0.0000 0.0000 Na
0.0000 0.0000 0.5000 Ti
0.0000 0.0000 0.0000 Be
0.5000 0.5000 0.5000 Al
```